[1]
Mg3InPt3: optimized geometry, PBE.

Properties
- DFT formation energy: -0.69 eV/atom
- Total DFT energy (no corrections): -4.36 eV/atom

Lattice parameters (Å, degrees): 9.0248 9.0248 5.5154 90.00 90.00 120.00
With the nearest neighbours (Å) after each atom.
Space group R-3m (No. 166, hexagonal axes)
Symmetry-distinct sites (fractional):
Mg 0.0000 0.5000 0.0000 (multiplicity 9)  6 Pt 2.76
In 0.0000 0.0000 0.0000 (multiplicity 3)  6 Pt 2.76
Pt 0.0000 0.5000 0.5000 (multiplicity 9)  6 Mg 2.76, 2 In 2.76

***

[2]
CaHg2BiH: optimized geometry, PBE.

Properties
- Total DFT energy (no corrections): -2.17 eV/atom

Lattice parameters (Å, degrees): 4.9613 4.9613 4.5773 90.00 90.00 90.00
With the nearest neighbours (Å) after each atom.
Space group P4/mmm (No. 123)
Symmetry-distinct sites (fractional):
Ca 0.0000 0.0000 0.0000 (multiplicity 1)  2 H 2.29
Hg 0.0000 0.5000 0.5000 (multiplicity 2)  2 H 2.48
Bi 0.5000 0.5000 0.0000 (multiplicity 1)  8 Hg 3.38, 4 Ca 3.51
H 0.0000 0.0000 0.5000 (multiplicity 1)  2 Ca 2.29, 4 Hg 2.48

***

[3]
MoIrOs2: optimized geometry, PBE.

Properties
- DFT formation energy: 0.76 eV/atom
- Energy relative to the lowest polymorph listed for this composition: 0.863 eV/atom
- Total DFT energy (no corrections): -9.77 eV/atom

Lattice parameters (Å, degrees): 2.7278 11.3637 10.2832 90.00 90.00 90.00
With the nearest neighbours (Å) after each atom.
Space group Cmcm (No. 63)
Symmetry-distinct sites (fractional):
Mo 0.0000 0.1084 0.2500 (multiplicity 4)  4 Os 2.61, 2 Ir 2.66, 2 Mo 2.73
Ir 0.0000 0.1910 0.7500 (multiplicity 4)  4 Os 2.65, 2 Mo 2.66, 2 Ir 2.73
Os 0.0000 0.4613 0.1077 (multiplicity 8)  1 Os 2.38, 2 Mo 2.61, 2 Ir 2.65

***

[4]
PaTc2B6: optimized geometry, PBE.

Properties
- DFT formation energy: -0.26 eV/atom
- Energy relative to the lowest polymorph listed for this composition: 0.249 eV/atom
- Total DFT energy (no corrections): -8.07 eV/atom

Lattice parameters (Å, degrees): 5.3493 5.3493 3.6233 90.00 90.00 120.00
With the nearest neighbours (Å) after each atom.
Space group P6/mmm (No. 191)
Symmetry-distinct sites (fractional):
Pa 0.0000 0.0000 0.0000 (multiplicity 1)  12 B 2.58
Tc 0.3333 0.6667 0.0000 (multiplicity 2)  12 B 2.53
B 0.0000 0.3422 0.5000 (multiplicity 6)  3 B 1.69-1.83